DFT (GGA-PBE) results for crystalline GeMo2 at its relaxed geometry.

Cell lengths 11.5440, 11.5440, 11.5440 Å; angles 90.00, 90.00, 90.00 degrees
Closest atoms and distances in Å follow each position.
Space group Fd-3m (No. 227, origin choice 2)
Inequivalent atoms, fractional coordinates:
Ge: 0.1250 0.1250 0.1250 (multiplicity 8)  4 Mo 2.50
Mo: 0.0000 0.0000 0.0000 (multiplicity 16)  2 Ge 2.50

Output
The excess energy over the best structure of this formula in the dataset is 731.2 kJ/mol of formula units.

---

DFT (GGA-PBE) results for crystalline Lu4Hf2Si3C3 at its relaxed geometry.

Cell lengths 10.2543, 5.9146, 14.3921 Å; angles 90.00, 104.16, 90.00 degrees
Closest atoms and distances in Å follow each position.
Space group C2/c (No. 15)
Inequivalent atoms, fractional coordinates:
Lu: 0.1173 0.0779 0.1003 (multiplicity 8)  3 C 2.43-2.44
Lu: 0.2129 0.0867 0.3998 (multiplicity 8)  3 C 2.43-2.44
Hf: 0.0596 0.4133 0.9203 (multiplicity 8)  3 C 2.23-2.24
Si: 0.0000 0.1641 0.7500 (multiplicity 4)  2 Si 2.58, 2 Hf 2.80
Si: 0.1252 0.4583 0.2492 (multiplicity 8)  2 Si 2.57-2.58, 2 Hf 2.80-2.81
C: 0.0802 0.2592 0.5000 (multiplicity 8)  2 Hf 2.23-2.24, 4 Lu 2.43-2.44
C: 0.2500 0.2500 0.0000 (multiplicity 4)  2 Hf 2.23, 4 Lu 2.43-2.44

Output
The final energy is -358.81 eV per cell.

---

DFT (GGA-PBE) results for crystalline LuBe2Fe at its relaxed geometry.

Cell lengths 5.9605, 5.9605, 5.9605 Å; angles 90.00, 90.00, 90.00 degrees
Closest atoms and distances in Å follow each position.
Space group F-43m (No. 216)
Inequivalent atoms, fractional coordinates:
Lu: 0.0000 0.0000 0.0000 (multiplicity 4)  4 Fe 2.58, 4 Be 2.58
Be: 0.0000 0.0000 0.5000 (multiplicity 4)  4 Fe 2.58, 4 Be 2.58
Be: 0.2500 0.2500 0.7500 (multiplicity 4)  4 Be 2.58, 4 Lu 2.58
Fe: 0.2500 0.2500 0.2500 (multiplicity 4)  4 Be 2.58, 4 Lu 2.58

Output
The final energy is -75.88 eV per cell.

---

DFT (GGA-PBE) results for crystalline PrAgAu at its relaxed geometry.

Cell lengths 4.7768, 7.1529, 8.2672 Å; angles 90.00, 90.00, 90.00 degrees
Closest atoms and distances in Å follow each position.
Space group Imm2 (No. 44)
Inequivalent atoms, fractional coordinates:
Pr: 0.0000 0.0000 0.0000 (multiplicity 2)  6 Au 3.20-3.29, 6 Ag 3.34-3.41
Pr: 0.0000 0.5000 0.0713 (multiplicity 2)  6 Ag 3.23-3.27, 6 Au 3.31-3.44
Ag: 0.0000 0.2100 0.3704 (multiplicity 4)  3 Au 2.77-2.78, 1 Ag 3.00
Au: 0.0000 0.2834 0.7002 (multiplicity 4)  3 Ag 2.77-2.78, 1 Au 3.10

Output
The formation energy is -0.55 eV/atom. The excess energy over the best structure of this formula in the dataset is 0.0 kJ/mol of formula units.

---

DFT (GGA-PBE) results for crystalline RbNbS2O8 at its relaxed geometry.

Cell lengths 4.8666, 4.8666, 8.0811 Å; angles 90.00, 90.00, 120.00 degrees
Closest atoms and distances in Å follow each position.
Space group P-3 (No. 147)
Inequivalent atoms, fractional coordinates:
Rb: 0.0000 0.0000 0.0000 (multiplicity 1)  12 O 2.90-3.17
Nb: 0.0000 0.0000 0.5000 (multiplicity 1)  6 O 2.14
S: 0.3333 0.6667 0.2698 (multiplicity 2)  4 O 1.45-1.50
O: 0.0549 0.6877 0.3341 (multiplicity 6)  1 S 1.50
O: 0.3333 0.6667 0.0901 (multiplicity 2)  1 S 1.45

Output
The final energy is -78.24 eV per cell.

---

DFT (GGA-PBE) results for crystalline NaTlPt at its relaxed geometry.

Cell lengths 6.6380, 6.6380, 6.6380 Å; angles 90.00, 90.00, 90.00 degrees
Closest atoms and distances in Å follow each position.
Space group F-43m (No. 216)
Inequivalent atoms, fractional coordinates:
Na: 0.0000 0.0000 0.0000 (multiplicity 4)  4 Pt 2.87
Tl: 0.0000 0.0000 0.5000 (multiplicity 4)  4 Pt 2.87
Pt: 0.2500 0.2500 0.2500 (multiplicity 4)  4 Tl 2.87, 4 Na 2.87

Output
The final energy is -40.51 eV per cell.

---

DFT (GGA-PBE) results for crystalline KPPtO at its relaxed geometry.

Cell lengths 4.4032, 4.4032, 8.7727 Å; angles 90.00, 90.00, 90.00 degrees
Closest atoms and distances in Å follow each position.
Space group P4/nmm (No. 129, origin choice 2)
Inequivalent atoms, fractional coordinates:
K: 0.2500 0.7500 0.0000 (multiplicity 2)  4 Pt 3.06, 4 K 3.11
P: 0.2500 0.2500 0.4880 (multiplicity 2)  1 Pt 2.16, 4 O 2.20
Pt: 0.2500 0.2500 0.2416 (multiplicity 2)  1 P 2.16
O: 0.2500 0.7500 0.5000 (multiplicity 2)  4 P 2.20

Output
The excess energy over the best structure of this formula in the dataset is 296.6 kJ/mol of formula units.

---

DFT (GGA-PBE) results for crystalline LuNbTlCo at its relaxed geometry.

Cell lengths 6.7443, 6.7443, 6.7443 Å; angles 90.00, 90.00, 90.00 degrees
Closest atoms and distances in Å follow each position.
Space group F-43m (No. 216)
Inequivalent atoms, fractional coordinates:
Lu: 0.0000 0.0000 0.0000 (multiplicity 4)  4 Nb 2.92, 4 Co 2.92
Nb: 0.2500 0.2500 0.2500 (multiplicity 4)  4 Tl 2.92, 4 Lu 2.92
Tl: 0.0000 0.0000 0.5000 (multiplicity 4)  4 Nb 2.92, 4 Co 2.92
Co: 0.2500 0.2500 0.7500 (multiplicity 4)  4 Tl 2.92, 4 Lu 2.92

Output
The excess energy over the best structure of this formula in the dataset is 0.0 kJ/mol of formula units.

---

DFT (GGA-PBE) results for crystalline LiTaB at its relaxed geometry.

Cell lengths 5.4544, 5.4544, 5.4544 Å; angles 90.00, 90.00, 90.00 degrees
Closest atoms and distances in Å follow each position.
Space group F-43m (No. 216)
Inequivalent atoms, fractional coordinates:
Li: 0.0000 0.0000 0.0000 (multiplicity 4)  4 Ta 2.36
Ta: 0.2500 0.2500 0.7500 (multiplicity 4)  4 Li 2.36, 4 B 2.36
B: 0.0000 0.0000 0.5000 (multiplicity 4)  4 Ta 2.36

Output
The excess energy over the best structure of this formula in the dataset is 256.7 kJ/mol of formula units.

---

DFT (GGA-PBE) results for crystalline TlInPt2 at its relaxed geometry.

Cell lengths 4.1993, 4.1993, 5.5895 Å; angles 90.00, 90.00, 120.00 degrees
Closest atoms and distances in Å follow each position.
Space group P-6m2 (No. 187)
Inequivalent atoms, fractional coordinates:
Tl: 0.0000 0.0000 0.0000 (multiplicity 1)  6 Pt 2.81
In: 0.3333 0.6667 0.5000 (multiplicity 1)  6 Pt 2.78
Pt: 0.6667 0.3333 0.2551 (multiplicity 2)  2 Pt 2.74-2.85, 3 In 2.78, 3 Tl 2.81

Output
The final energy is -18.45 eV per cell.

---

DFT (GGA-PBE) results for crystalline NaTbCdSe3 at its relaxed geometry.

Cell lengths 12.6536, 4.1740, 12.2683 Å; angles 90.00, 90.00, 90.00 degrees
Closest atoms and distances in Å follow each position.
Space group Pnma (No. 62)
Inequivalent atoms, fractional coordinates:
Na: 0.1269 0.2500 0.0055 (multiplicity 4)  5 Se 3.00-3.04
Tb: 0.0475 0.2500 0.6682 (multiplicity 4)  6 Se 2.85-3.02
Cd: 0.2344 0.2500 0.2848 (multiplicity 4)  4 Se 2.60-2.69
Se: 0.0604 0.7500 0.8394 (multiplicity 4)  1 Cd 2.68, 2 Tb 2.97
Se: 0.0803 0.2500 0.4248 (multiplicity 4)  1 Cd 2.60, 2 Tb 2.88
Se: 0.2285 0.7500 0.1467 (multiplicity 4)  2 Cd 2.69, 1 Tb 2.85, 2 Na 3.00

Output
The excess energy over the best structure of this formula in the dataset is 13.1 kJ/mol of formula units.

---

DFT (GGA-PBE) results for crystalline LaSiAu2O at its relaxed geometry.

Cell lengths 4.4467, 4.4467, 9.5736 Å; angles 90.00, 90.00, 90.00 degrees
Closest atoms and distances in Å follow each position.
Space group I-4m2 (No. 119)
Inequivalent atoms, fractional coordinates:
La: 0.0000 0.0000 0.0000 (multiplicity 2)  4 O 3.27, 4 Si 3.27, 10 Au 3.42-3.44
Si: 0.0000 0.5000 0.7500 (multiplicity 2)  4 Au 2.46
Au: 0.0000 0.0000 0.3595 (multiplicity 4)  2 O 2.46, 2 Si 2.46, 1 Au 2.69
O: 0.0000 0.5000 0.2500 (multiplicity 2)  4 Au 2.46

Output
The final energy is -49.32 eV per cell.

---

DFT (GGA-PBE) results for crystalline RbScOs at its relaxed geometry.

Cell lengths 6.6179, 6.6179, 6.6179 Å; angles 90.00, 90.00, 90.00 degrees
Closest atoms and distances in Å follow each position.
Space group F-43m (No. 216)
Inequivalent atoms, fractional coordinates:
Rb: 0.0000 0.0000 0.0000 (multiplicity 4)  4 Os 2.87, 4 Sc 2.87
Sc: 0.2500 0.2500 0.2500 (multiplicity 4)  4 Rb 2.87
Os: 0.2500 0.2500 0.7500 (multiplicity 4)  4 Rb 2.87

Output
The excess energy over the best structure of this formula in the dataset is 291.7 kJ/mol of formula units.

---

DFT (GGA-PBE) results for crystalline YFeTcGe at its relaxed geometry.

Cell lengths 6.5366, 6.5366, 6.5366 Å; angles 90.00, 90.00, 90.00 degrees
Closest atoms and distances in Å follow each position.
Space group F-43m (No. 216)
Inequivalent atoms, fractional coordinates:
Y: 0.0000 0.0000 0.0000 (multiplicity 4)  4 Ge 2.83, 4 Tc 2.83
Fe: 0.0000 0.0000 0.5000 (multiplicity 4)  4 Ge 2.83, 4 Tc 2.83
Tc: 0.2500 0.2500 0.7500 (multiplicity 4)  4 Fe 2.83, 4 Y 2.83
Ge: 0.2500 0.2500 0.2500 (multiplicity 4)  4 Fe 2.83, 4 Y 2.83

Output
The excess energy over the best structure of this formula in the dataset is 55.8 kJ/mol of formula units.

---

DFT (GGA-PBE) results for crystalline Dy3Cd3In2Cu at its relaxed geometry.

Cell lengths 7.4351, 7.4351, 4.4486 Å; angles 90.00, 90.00, 120.00 degrees
Closest atoms and distances in Å follow each position.
Space group P-62m (No. 189)
Inequivalent atoms, fractional coordinates:
Dy: 0.0000 0.4019 0.0000 (multiplicity 3)  1 Cu 2.99, 4 In 3.18
Cd: 0.0000 0.7645 0.5000 (multiplicity 3)  2 Cu 2.83, 2 In 2.91, 2 Cd 3.03
In: 0.3333 0.6667 0.5000 (multiplicity 2)  3 Cd 2.91, 6 Dy 3.18
Cu: 0.0000 0.0000 0.0000 (multiplicity 1)  6 Cd 2.83, 3 Dy 2.99

Output
The final energy is -29.06 eV per cell.

---

DFT (GGA-PBE) results for crystalline TaHgO3 at its relaxed geometry.

Cell lengths 6.2301, 6.2301, 12.6881 Å; angles 90.00, 90.00, 120.00 degrees
Closest atoms and distances in Å follow each position.
Space group R-3c (No. 167, hexagonal axes)
Inequivalent atoms, fractional coordinates:
Ta: 0.0000 0.0000 0.2500 (multiplicity 6)  3 O 1.86
Hg: 0.0000 0.0000 0.0000 (multiplicity 6)  6 O 2.43
O: 0.0000 0.2991 0.2500 (multiplicity 18)  1 Ta 1.86

Output
The final energy is -199.73 eV per cell.

---

DFT (GGA-PBE) results for crystalline NiHgB2 at its relaxed geometry.

Cell lengths 5.7742, 5.7742, 5.7742 Å; angles 90.00, 90.00, 90.00 degrees
Closest atoms and distances in Å follow each position.
Space group F-43m (No. 216)
Inequivalent atoms, fractional coordinates:
Ni: 0.0000 0.0000 0.0000 (multiplicity 4)  4 Hg 2.50, 4 B 2.50
Hg: 0.2500 0.2500 0.7500 (multiplicity 4)  4 Ni 2.50, 4 B 2.50
B: 0.0000 0.0000 0.5000 (multiplicity 4)  4 Hg 2.50, 4 B 2.50
B: 0.2500 0.2500 0.2500 (multiplicity 4)  4 Ni 2.50, 4 B 2.50

Output
The final energy is -51.66 eV per cell.

---

DFT (GGA-PBE) results for crystalline PmGe4Pd6 at its relaxed geometry.

Cell lengths 7.3550, 7.3550, 3.9875 Å; angles 90.00, 90.00, 120.00 degrees
Closest atoms and distances in Å follow each position.
Space group P-6m2 (No. 187)
Inequivalent atoms, fractional coordinates:
Pm: 0.0000 0.0000 0.0000 (multiplicity 1)  6 Ge 3.15, 6 Pd 3.23
Ge: 0.3333 0.6667 0.0000 (multiplicity 1)  9 Pd 2.57-2.62
Ge: 0.3837 0.1918 0.5000 (multiplicity 3)  6 Pd 2.50-2.65
Pd: 0.1998 0.3997 0.5000 (multiplicity 3)  4 Ge 2.50-2.62
Pd: 0.5354 0.0708 0.0000 (multiplicity 3)  5 Ge 2.57-2.65

Output
The final energy is -61.83 eV per cell.

---

DFT (GGA-PBE) results for crystalline NdHoPt at its relaxed geometry.

Cell lengths 6.8219, 6.8219, 6.8219 Å; angles 90.00, 90.00, 90.00 degrees
Closest atoms and distances in Å follow each position.
Space group F-43m (No. 216)
Inequivalent atoms, fractional coordinates:
Nd: 0.0000 0.0000 0.0000 (multiplicity 4)  4 Ho 2.95, 4 Pt 2.95
Ho: 0.2500 0.2500 0.7500 (multiplicity 4)  4 Nd 2.95
Pt: 0.2500 0.2500 0.2500 (multiplicity 4)  4 Nd 2.95

Output
The formation energy is -0.03 eV/atom.

---

DFT (GGA-PBE) results for crystalline SrGa2Pt2 at its relaxed geometry.

Cell lengths 8.7251, 6.1558, 8.3395 Å; angles 90.00, 97.41, 90.00 degrees
Closest atoms and distances in Å follow each position.
Space group P2_1/c (No. 14)
Inequivalent atoms, fractional coordinates:
Sr: 0.2346 0.1109 0.0039 (multiplicity 4)  4 Pt 3.18-3.52, 3 Ga 3.35-3.54
Ga: 0.0699 0.5798 0.8696 (multiplicity 4)  4 Pt 2.46-2.57
Ga: 0.4464 0.6521 0.1980 (multiplicity 4)  4 Pt 2.46-2.53
Pt: 0.1543 0.6671 0.1694 (multiplicity 4)  4 Ga 2.46-2.57
Pt: 0.3658 0.5948 0.9011 (multiplicity 4)  4 Ga 2.46-2.56

Output
The final energy is -95.97 eV per cell.

---

DFT (GGA-PBE) results for crystalline Ta7Al5 at its relaxed geometry.

Cell lengths 5.2534, 5.2534, 17.1528 Å; angles 90.00, 90.00, 120.00 degrees
Closest atoms and distances in Å follow each position.
Space group P6_3/mmc (No. 194)
Inequivalent atoms, fractional coordinates:
Ta: 0.0000 0.0000 0.0976 (multiplicity 4)  6 Al 3.00-3.08, 10 Ta 3.12-3.35
Ta: 0.0000 0.5000 0.0000 (multiplicity 6)  4 Ta 2.63, 2 Al 2.69
Ta: 0.3333 0.6667 0.1581 (multiplicity 4)  9 Al 3.06-3.07, 7 Ta 3.11-3.21
Al: 0.1609 0.3218 0.7500 (multiplicity 6)  6 Al 2.54-2.72
Al: 0.3333 0.6667 0.6293 (multiplicity 4)  3 Al 2.60, 3 Ta 2.69

Output
The excess energy over the best structure of this formula in the dataset is 0.0 kJ/mol of formula units.

---

DFT (GGA-PBE) results for crystalline NaBeSiAu at its relaxed geometry.

Cell lengths 6.2155, 6.2155, 6.2155 Å; angles 90.00, 90.00, 90.00 degrees
Closest atoms and distances in Å follow each position.
Space group F-43m (No. 216)
Inequivalent atoms, fractional coordinates:
Na: 0.0000 0.0000 0.0000 (multiplicity 4)  4 Be 2.69, 4 Si 2.69
Be: 0.2500 0.2500 0.7500 (multiplicity 4)  4 Au 2.69, 4 Na 2.69
Si: 0.2500 0.2500 0.2500 (multiplicity 4)  4 Na 2.69, 4 Au 2.69
Au: 0.0000 0.0000 0.5000 (multiplicity 4)  4 Si 2.69, 4 Be 2.69

Output
The excess energy over the best structure of this formula in the dataset is 0.0 kJ/mol of formula units.

---

DFT (GGA-PBE) results for crystalline CsKCd4 at its relaxed geometry.

Cell lengths 5.3564, 8.7229, 8.9753 Å; angles 90.00, 90.00, 90.00 degrees
Closest atoms and distances in Å follow each position.
Space group Imm2 (No. 44)
Inequivalent atoms, fractional coordinates:
Cs: 0.0000 0.0000 0.0000 (multiplicity 2)  12 Cd 3.69-3.99
K: 0.0000 0.5000 0.8794 (multiplicity 2)  12 Cd 3.65-3.99
Cd: 0.0000 0.1759 0.5972 (multiplicity 4)  4 Cd 3.07-3.19
Cd: 0.0000 0.3191 0.2698 (multiplicity 4)  4 Cd 3.09-3.19

Output
The final energy is -11.88 eV per cell.

---

DFT (GGA-PBE) results for crystalline NpCdB at its relaxed geometry.

Cell lengths 6.1042, 6.1042, 6.1042 Å; angles 90.00, 90.00, 90.00 degrees
Closest atoms and distances in Å follow each position.
Space group F-43m (No. 216)
Inequivalent atoms, fractional coordinates:
Np: 0.0000 0.0000 0.0000 (multiplicity 4)  4 B 2.64
Cd: 0.0000 0.0000 0.5000 (multiplicity 4)  4 B 2.64
B: 0.2500 0.2500 0.7500 (multiplicity 4)  4 Cd 2.64, 4 Np 2.64

Output
The final energy is -75.02 eV per cell.